SrAc2Tl3 | PBE-GGA | optimized geometry

Calculated values
- ΔE_f (kJ/mol of formula units) = -218
- magnetization (μB/f.u.) = 0.0
- total DFT energy (no corrections) (eV per atom) = -3.21

abc: 4.089 4.089 12.585
angles: 90.00 90.00 90.00
Space group P4/mmm (No. 123)
Symmetry-distinct sites (fractional):
Sr 0.000 0.000 0.000 x1
Ac 0.000 0.000 0.330 x2
Tl 0.500 0.500 0.164 x2
Tl 0.500 0.500 0.500 x1